Record 1
# PBE Nd3NbPd12, relaxed
# Space group: No. 123
# Energy, eV/atom: -6.1025
# D(E_F), states/eV/cell: 3.90
data_Nd3NbPd12
_symmetry_space_group_name_H-M 'P 1'
_symmetry_Int_Tables_number 1
_symmetry_space_group_name_Hall 'P 1'
_cell_length_a 4.147
_cell_length_b 4.147
_cell_length_c 16.551
_cell_angle_alpha 90.00
_cell_angle_beta 90.00
_cell_angle_gamma 90.00
loop_
_atom_site_label
_atom_site_type_symbol
_atom_site_fract_x
_atom_site_fract_y
_atom_site_fract_z
_atom_site_occupancy
Nd1 Nd 0.000 0.000 0.247 1
Nd2 Nd 0.000 0.000 0.500 1
Nd3 Nd 0.000 0.000 0.753 1
Nb1 Nb 0.000 0.000 0.000 1
Pd1 Pd 0.500 0.500 0.000 1
Pd2 Pd 0.500 0.500 0.240 1
Pd3 Pd 0.500 0.500 0.500 1
Pd4 Pd 0.500 0.500 0.760 1
Pd5 Pd 0.500 0.000 0.111 1
Pd6 Pd 0.500 0.000 0.371 1
Pd7 Pd 0.500 0.000 0.629 1
Pd8 Pd 0.500 0.000 0.889 1
Pd9 Pd 0.000 0.500 0.111 1
Pd10 Pd 0.000 0.500 0.371 1
Pd11 Pd 0.000 0.500 0.629 1
Pd12 Pd 0.000 0.500 0.889 1

***

Record 2
# PBE NaPuI2O8, relaxed
# Space group: No. 12
# Energy, eV/atom: -5.9736
# D(E_F), states/eV/cell: 5.17
data_NaPuI2O8
_symmetry_space_group_name_H-M 'P 1'
_symmetry_Int_Tables_number 1
_symmetry_space_group_name_Hall 'P 1'
_cell_length_a 5.566
_cell_length_b 7.714
_cell_length_c 7.142
_cell_angle_alpha 42.91
_cell_angle_beta 67.07
_cell_angle_gamma 68.85
loop_
_atom_site_label
_atom_site_type_symbol
_atom_site_fract_x
_atom_site_fract_y
_atom_site_fract_z
_atom_site_occupancy
Na1 Na 0.500 0.500 0.500 1
Pu1 Pu 0.000 0.000 0.000 1
I1 I 0.219 0.311 0.252 1
I2 I 0.781 0.689 0.748 1
O1 O 0.910 0.437 0.744 1
O2 O 0.697 0.473 0.133 1
O3 O 0.090 0.563 0.256 1
O4 O 0.303 0.527 0.867 1
O5 O 0.673 0.930 0.254 1
O6 O 0.327 0.070 0.746 1
O7 O 0.144 0.930 0.254 1
O8 O 0.856 0.070 0.746 1

***

Record 3
# PBE TeAs2Cl, relaxed
# Space group: No. 122
# Energy, eV/atom: -3.3011
# D(E_F), states/eV/cell: 6.06
data_TeAs2Cl
_symmetry_space_group_name_H-M 'P 1'
_symmetry_Int_Tables_number 1
_symmetry_space_group_name_Hall 'P 1'
_cell_length_a 7.760
_cell_length_b 7.760
_cell_length_c 6.396
_cell_angle_alpha 52.66
_cell_angle_beta 52.66
_cell_angle_gamma 90.00
loop_
_atom_site_label
_atom_site_type_symbol
_atom_site_fract_x
_atom_site_fract_y
_atom_site_fract_z
_atom_site_occupancy
As1 As 0.636 0.125 0.250 1
As2 As 0.114 0.625 0.250 1
As3 As 0.375 0.364 0.750 1
As4 As 0.875 0.886 0.750 1
Te1 Te 0.000 0.000 0.000 1
Te2 Te 0.750 0.250 0.500 1
Cl1 Cl 0.500 0.500 0.000 1
Cl2 Cl 0.250 0.750 0.500 1

***

Record 4
# PBE Nd2PAu, relaxed
# Space group: No. 160
# Energy, eV/atom: -5.6362
# D(E_F), states/eV/cell: 2.07
data_Nd2PAu
_symmetry_space_group_name_H-M 'P 1'
_symmetry_Int_Tables_number 1
_symmetry_space_group_name_Hall 'P 1'
_cell_length_a 4.104
_cell_length_b 4.104
_cell_length_c 7.779
_cell_angle_alpha 74.71
_cell_angle_beta 74.71
_cell_angle_gamma 60.00
loop_
_atom_site_label
_atom_site_type_symbol
_atom_site_fract_x
_atom_site_fract_y
_atom_site_fract_z
_atom_site_occupancy
Nd1 Nd 0.075 0.075 0.776 1
Nd2 Nd 0.259 0.259 0.223 1
P1 P 0.666 0.666 0.001 1
Au1 Au 0.500 0.500 0.500 1

***

Record 5
# PBE Ba3Hg8Au3, relaxed
# Space group: No. 71
# Energy, eV/atom: -1.6982
# D(E_F), states/eV/cell: 4.62
data_Ba3Hg8Au3
_symmetry_space_group_name_H-M 'P 1'
_symmetry_Int_Tables_number 1
_symmetry_space_group_name_Hall 'P 1'
_cell_length_a 4.863
_cell_length_b 9.605
_cell_length_c 9.605
_cell_angle_alpha 72.69
_cell_angle_beta 75.33
_cell_angle_gamma 75.33
loop_
_atom_site_label
_atom_site_type_symbol
_atom_site_fract_x
_atom_site_fract_y
_atom_site_fract_z
_atom_site_occupancy
Ba1 Ba 0.500 0.500 0.500 1
Ba2 Ba 0.838 0.162 0.162 1
Ba3 Ba 0.162 0.838 0.838 1
Hg1 Hg 0.616 0.102 0.665 1
Hg2 Hg 0.384 0.898 0.335 1
Hg3 Hg 0.616 0.665 0.102 1
Hg4 Hg 0.384 0.335 0.898 1
Hg5 Hg 0.815 0.819 0.552 1
Hg6 Hg 0.185 0.181 0.448 1
Hg7 Hg 0.815 0.552 0.819 1
Hg8 Hg 0.185 0.448 0.181 1
Au1 Au 0.500 0.000 0.000 1
Au2 Au 0.000 0.729 0.271 1
Au3 Au 0.000 0.271 0.729 1

***

Record 6
# PBE Ac4Te3Pb, relaxed
# Space group: No. 139
# Energy, eV/atom: -5.0111
# D(E_F), states/eV/cell: 2.80
data_Ac4Te3Pb
_symmetry_space_group_name_H-M 'P 1'
_symmetry_Int_Tables_number 1
_symmetry_space_group_name_Hall 'P 1'
_cell_length_a 6.749
_cell_length_b 6.749
_cell_length_c 8.282
_cell_angle_alpha 114.04
_cell_angle_beta 114.04
_cell_angle_gamma 90.00
loop_
_atom_site_label
_atom_site_type_symbol
_atom_site_fract_x
_atom_site_fract_y
_atom_site_fract_z
_atom_site_occupancy
Pb1 Pb 0.000 0.000 0.000 1
Ac1 Ac 0.753 0.753 0.506 1
Ac2 Ac 0.247 0.247 0.494 1
Ac3 Ac 0.500 0.000 0.000 1
Ac4 Ac 0.000 0.500 0.000 1
Te1 Te 0.500 0.500 0.000 1
Te2 Te 0.750 0.250 0.500 1
Te3 Te 0.250 0.750 0.500 1

***

Record 7
# PBE Pm2ZrNiS5, relaxed
# Space group: No. 36
# Energy, eV/atom: -6.6094
# D(E_F), states/eV/cell: 2.47
data_Pm2ZrNiS5
_symmetry_space_group_name_H-M 'P 1'
_symmetry_Int_Tables_number 1
_symmetry_space_group_name_Hall 'P 1'
_cell_length_a 3.779
_cell_length_b 8.438
_cell_length_c 11.532
_cell_angle_alpha 90.00
_cell_angle_beta 90.00
_cell_angle_gamma 102.94
loop_
_atom_site_label
_atom_site_type_symbol
_atom_site_fract_x
_atom_site_fract_y
_atom_site_fract_z
_atom_site_occupancy
Pm1 Pm 0.881 0.762 0.832 1
Pm2 Pm 0.115 0.231 0.695 1
Pm3 Pm 0.119 0.238 0.332 1
Pm4 Pm 0.885 0.769 0.195 1
Zr1 Zr 0.821 0.641 0.516 1
Zr2 Zr 0.179 0.359 0.016 1
Ni1 Ni 0.567 0.133 0.933 1
Ni2 Ni 0.433 0.867 0.433 1
S1 S 0.344 0.689 0.014 1
S2 S 0.693 0.386 0.860 1
S3 S 0.498 0.996 0.766 1
S4 S 0.299 0.598 0.677 1
S5 S 0.970 0.941 0.531 1
S6 S 0.656 0.311 0.514 1
S7 S 0.307 0.614 0.360 1
S8 S 0.502 0.004 0.266 1
S9 S 0.701 0.402 0.177 1
S10 S 0.030 0.059 0.031 1

***

Record 8
# PBE BeCdNi2, relaxed
# Space group: No. 65
# Energy, eV/atom: -3.9495
# D(E_F), states/eV/cell: 1.45
data_BeCdNi2
_symmetry_space_group_name_H-M 'P 1'
_symmetry_Int_Tables_number 1
_symmetry_space_group_name_Hall 'P 1'
_cell_length_a 6.131
_cell_length_b 4.268
_cell_length_c 2.826
_cell_angle_alpha 89.95
_cell_angle_beta 62.62
_cell_angle_gamma 124.47
loop_
_atom_site_label
_atom_site_type_symbol
_atom_site_fract_x
_atom_site_fract_y
_atom_site_fract_z
_atom_site_occupancy
Ni1 Ni 0.000 0.000 0.000 1
Ni2 Ni 0.500 0.000 0.500 1
Be1 Be 0.000 0.500 0.500 1
Cd1 Cd 0.500 0.500 0.000 1

***

Record 9
# PBE AcPuAl2, relaxed
# Space group: No. 123
# Energy, eV/atom: -6.6075
# D(E_F), states/eV/cell: 8.84
data_AcPuAl2
_symmetry_space_group_name_H-M 'P 1'
_symmetry_Int_Tables_number 1
_symmetry_space_group_name_Hall 'P 1'
_cell_length_a 3.811
_cell_length_b 3.811
_cell_length_c 7.332
_cell_angle_alpha 90.00
_cell_angle_beta 90.00
_cell_angle_gamma 90.00
loop_
_atom_site_label
_atom_site_type_symbol
_atom_site_fract_x
_atom_site_fract_y
_atom_site_fract_z
_atom_site_occupancy
Ac1 Ac 0.500 0.500 0.500 1
Al1 Al 0.000 0.000 0.788 1
Al2 Al 0.000 0.000 0.212 1
Pu1 Pu 0.500 0.500 0.000 1

***

Record 10
# PBE LaMg2Sc, relaxed
# Space group: No. 216
# Energy, eV/atom: -3.5304
# D(E_F), states/eV/cell: 5.58
data_LaMg2Sc
_symmetry_space_group_name_H-M 'P 1'
_symmetry_Int_Tables_number 1
_symmetry_space_group_name_Hall 'P 1'
_cell_length_a 5.340
_cell_length_b 5.340
_cell_length_c 5.340
_cell_angle_alpha 60.00
_cell_angle_beta 60.00
_cell_angle_gamma 60.00
loop_
_atom_site_label
_atom_site_type_symbol
_atom_site_fract_x
_atom_site_fract_y
_atom_site_fract_z
_atom_site_occupancy
La1 La 0.500 0.500 0.500 1
Mg1 Mg 0.000 0.000 0.000 1
Mg2 Mg 0.250 0.250 0.250 1
Sc1 Sc 0.750 0.750 0.750 1

***

Record 11
# PBE PrHo2Lu, relaxed
# Space group: No. 123
# Energy, eV/atom: -4.5860
# D(E_F), states/eV/cell: 6.14
data_PrHo2Lu
_symmetry_space_group_name_H-M 'P 1'
_symmetry_Int_Tables_number 1
_symmetry_space_group_name_Hall 'P 1'
_cell_length_a 5.060
_cell_length_b 5.011
_cell_length_c 5.011
_cell_angle_alpha 90.00
_cell_angle_beta 90.00
_cell_angle_gamma 90.00
loop_
_atom_site_label
_atom_site_type_symbol
_atom_site_fract_x
_atom_site_fract_y
_atom_site_fract_z
_atom_site_occupancy
Pr1 Pr 0.500 0.500 0.500 1
Lu1 Lu 0.500 0.000 0.000 1
Ho1 Ho 0.000 0.000 0.500 1
Ho2 Ho 0.000 0.500 0.000 1

***

Record 12
# PBE ErPuPaPb, relaxed
# Space group: No. 216
# Energy, eV/atom: -7.9016
# D(E_F), states/eV/cell: 5.82
data_ErPuPaPb
_symmetry_space_group_name_H-M 'P 1'
_symmetry_Int_Tables_number 1
_symmetry_space_group_name_Hall 'P 1'
_cell_length_a 5.299
_cell_length_b 5.299
_cell_length_c 5.299
_cell_angle_alpha 60.00
_cell_angle_beta 60.00
_cell_angle_gamma 60.00
loop_
_atom_site_label
_atom_site_type_symbol
_atom_site_fract_x
_atom_site_fract_y
_atom_site_fract_z
_atom_site_occupancy
Pb1 Pb 0.750 0.750 0.750 1
Pa1 Pa 0.250 0.250 0.250 1
Er1 Er 0.500 0.500 0.500 1
Pu1 Pu 0.000 0.000 0.000 1